KBeBTe2: relaxed, PBE-GGA.

Output
Formation energy without anion corrections   2.0804 eV per atom
Calculated volume   205.96 Å³ per cell
Space group   P4/mmm (123)
Magnetization   0.00 μB per formula unit

```
KBeBTe2
1.0
6.0936 0.0000 0.0000
0.0000 5.5466 0.0000
0.0000 0.0000 6.0936
Be K Te B
1 1 2 1
Cartesian
0.0000 2.7733 0.0000
0.0000 0.0000 0.0000
0.0000 0.0000 3.0468
3.0468 0.0000 0.0000
3.0468 2.7733 3.0468
```